[1]
Entry from Alexandria: Na5Tl4Ga after structural relaxation (PBE).

Output
energy of formation	-0.090	eV per atom
D(E_F)	9.07	states/eV/cell
crystal system	monoclinic
energy	-2.00	eV/atom

Cell lengths 17.5767, 5.1624, 6.6460 Å; angles 90.00, 111.52, 90.00 degrees
Closest atoms and distances in Å follow each position.
Space group C2/m (No. 12)
Asymmetric unit:
Na: 0.0000 0.0000 0.0000 x2  2 Ga 3.32, 6 Na 3.44-3.55, 4 Tl 3.55
Na: 0.1160 0.5000 0.9247 x4  6 Tl 3.16-3.46, 2 Na 3.44
Na: 0.2134 0.0000 0.3062 x4  7 Tl 3.27-3.65, 5 Na 3.54-3.58
Tl: 0.0801 0.5000 0.3857 x4  2 Ga 3.16, 4 Na 3.30-3.45
Tl: 0.1783 0.0000 0.7565 x4  1 Ga 2.97, 5 Na 3.16-3.32
Ga: 0.0000 0.0000 0.5000 x2  6 Tl 2.97-3.16, 2 Na 3.32

---

[2]
Entry from Alexandria: ZnGe2F after structural relaxation (PBE).

Output
excess energy over the best structure of this formula in the dataset	0.003	eV/atom
uncorrected formation energy	-310	meV per atom
D(E_F)	2.85	states/eV/cell
crystal system	tetragonal
energy	-3.41	eV/atom

Cell lengths 4.4161, 4.4161, 15.6103 Å; angles 90.00, 90.00, 90.00 degrees
Closest atoms and distances in Å follow each position.
Space group I-42d (No. 122)
Asymmetric unit:
Zn: 0.0000 0.0000 0.0000 x4  4 Ge 2.68
Ge: 0.1660 0.2500 0.6250 x8  2 F 2.36
F: 0.0000 0.0000 0.5000 x4  4 Ge 2.36

---

[3]
Entry from Alexandria: Dy3ErTmSc after structural relaxation (PBE).

Output
energy of formation	0.035	eV per atom
D(E_F)	15.90	states/eV/cell
crystal system	monoclinic
energy	-4.83	eV/atom

Cell lengths 7.7883, 4.9382, 9.8101 Å; angles 90.00, 108.49, 90.00 degrees
Closest atoms and distances in Å follow each position.
Space group P2_1/m (No. 11)
Asymmetric unit:
Dy: 0.1644 0.2500 0.0399 x2  5 Dy 3.44-3.49, 3 Er 3.47-3.50, 3 Sc 3.47-3.48, 1 Tm 3.50
Dy: 0.1647 0.2500 0.5425 x2  5 Dy 3.45-3.49, 3 Sc 3.47-3.48, 3 Tm 3.48-3.53, 1 Er 3.48
Dy: 0.1651 0.7500 0.2909 x2  6 Dy 3.44-3.49, 3 Tm 3.47-3.52, 2 Sc 3.48, 1 Er 3.50
Er: 0.4993 0.2500 0.8767 x2  2 Er 3.45, 3 Sc 3.46-3.48, 5 Dy 3.47-3.50, 2 Tm 3.48
Tm: 0.4962 0.7500 0.6259 x2  1 Sc 3.45, 7 Dy 3.47-3.53, 2 Er 3.48, 2 Tm 3.51
Sc: 0.1673 0.7500 0.7923 x2  1 Tm 3.45, 3 Er 3.46-3.48, 8 Dy 3.47-3.48